Density functional theory data (GGA-PBE) for an optimized crystal structure of AcNd3Dy2.

a b c (Å): 6.843 6.843 11.611
angles (deg): 115.02 115.02 63.55
Atoms (fractional coordinates):
1 Ac 0.003 0.997 0.750
2 Ac 0.997 0.003 0.250
3 Nd 0.086 0.579 0.916
4 Nd 0.421 0.914 0.584
5 Nd 0.498 0.502 0.750
6 Nd 0.502 0.498 0.250
7 Nd 0.579 0.086 0.416
8 Nd 0.914 0.421 0.084
9 Dy 0.084 0.583 0.418
10 Dy 0.417 0.916 0.082
11 Dy 0.583 0.084 0.918
12 Dy 0.916 0.417 0.582

Output
As for the energy relative to the lowest polymorph listed for this composition: 0.0000 eV/atom. The calculation puts the calculated formation energy at 0.060 eV/atom. The spin magnetization is 0.0 μB/f.u. The value obtained for the density of states at the Fermi level is 17.4 states/eV per cell.

***

Density functional theory data (GGA-PBE) for an optimized crystal structure of AcNd12Dy7.

a b c (Å): 10.096 10.096 10.096
angles (deg): 109.47 109.47 109.47
Atoms (fractional coordinates):
1 Ac 0.000 0.000 0.000
2 Nd 0.003 0.262 0.741
3 Nd 0.259 0.521 0.262
4 Nd 0.259 0.997 0.738
5 Nd 0.262 0.259 0.521
6 Nd 0.262 0.741 0.003
7 Nd 0.479 0.738 0.741
8 Nd 0.521 0.262 0.259
9 Nd 0.738 0.259 0.997
10 Nd 0.738 0.741 0.479
11 Nd 0.741 0.003 0.262
12 Nd 0.741 0.479 0.738
13 Nd 0.997 0.738 0.259
14 Dy 0.000 0.000 0.500
15 Dy 0.000 0.500 0.000
16 Dy 0.000 0.500 0.500
17 Dy 0.500 0.000 0.000
18 Dy 0.500 0.000 0.500
19 Dy 0.500 0.500 0.000
20 Dy 0.500 0.500 0.500

Output
As for the energy relative to the lowest polymorph listed for this composition: 0.4194 eV/atom. The calculation puts the calculated formation energy at 0.635 eV/atom. The spin magnetization is 0.0 μB/f.u. The value obtained for the density of states at the Fermi level is 30.0 states/eV per cell.

***

Density functional theory data (GGA-PBE) for an optimized crystal structure of Ac7Nd2Dy2.

a b c (Å): 7.391 7.391 10.122
angles (deg): 90.00 90.00 121.22
Atoms (fractional coordinates):
1 Ac 0.000 0.000 0.000
2 Ac 0.000 0.500 0.311
3 Ac 0.000 0.500 0.689
4 Ac 0.500 0.000 0.311
5 Ac 0.500 0.000 0.689
6 Ac 0.500 0.500 0.183
7 Ac 0.500 0.500 0.817
8 Nd 0.248 0.248 0.500
9 Nd 0.752 0.752 0.500
10 Dy 0.269 0.731 0.000
11 Dy 0.731 0.269 0.000

Output
The calculation puts the calculated formation energy at 0.326 eV/atom. The spin magnetization is 0.0 μB/f.u. The value obtained for the density of states at the Fermi level is 19.8 states/eV per cell.

***

Density functional theory data (GGA-PBE) for an optimized crystal structure of Ac2Nd5Dy.

a b c (Å): 7.469 14.958 5.281
angles (deg): 90.00 90.00 90.00
Atoms (fractional coordinates):
1 Ac 0.247 0.124 0.000
2 Ac 0.253 0.624 0.000
3 Ac 0.747 0.376 0.000
4 Ac 0.753 0.876 0.000
5 Nd 0.000 0.500 0.500
6 Nd 0.003 0.751 0.500
7 Nd 0.248 0.376 0.000
8 Nd 0.252 0.876 0.000
9 Nd 0.497 0.251 0.500
10 Nd 0.500 0.000 0.500
11 Nd 0.503 0.749 0.500
12 Nd 0.748 0.124 0.000
13 Nd 0.752 0.624 0.000
14 Nd 0.997 0.249 0.500
15 Dy 0.000 0.000 0.500
16 Dy 0.500 0.500 0.500

Output
As for the energy relative to the lowest polymorph listed for this composition: 0.0000 eV/atom. The calculation puts the calculated formation energy at 0.028 eV/atom. The spin magnetization is 0.0 μB/f.u. The value obtained for the density of states at the Fermi level is 25.7 states/eV per cell.

***

Density functional theory data (GGA-PBE) for an optimized crystal structure of AcNd10Dy6.

a b c (Å): 9.933 9.933 6.978
angles (deg): 90.00 90.00 120.00
Atoms (fractional coordinates):
1 Ac 0.000 0.000 0.000
2 Nd 0.000 0.282 0.326
3 Nd 0.000 0.718 0.674
4 Nd 0.282 0.000 0.326
5 Nd 0.282 0.282 0.674
6 Nd 0.333 0.667 0.000
7 Nd 0.333 0.667 0.500
8 Nd 0.667 0.333 0.000
9 Nd 0.667 0.333 0.500
10 Nd 0.718 0.000 0.674
11 Nd 0.718 0.718 0.326
12 Dy 0.000 0.371 0.813
13 Dy 0.000 0.629 0.187
14 Dy 0.371 0.000 0.813
15 Dy 0.371 0.371 0.187
16 Dy 0.629 0.000 0.187
17 Dy 0.629 0.629 0.813

Output
The calculation puts the calculated formation energy at 0.135 eV/atom. The spin magnetization is 0.0 μB/f.u. The value obtained for the density of states at the Fermi level is 27.1 states/eV per cell.

***

Density functional theory data (GGA-PBE) for an optimized crystal structure of Ac2Nd4Dy3.

a b c (Å): 6.425 6.444 8.258
angles (deg): 82.49 74.86 80.17
Atoms (fractional coordinates):
1 Ac 0.116 0.221 0.059
2 Ac 0.884 0.779 0.941
3 Nd 0.332 0.664 0.177
4 Nd 0.444 0.888 0.713
5 Nd 0.556 0.112 0.287
6 Nd 0.668 0.336 0.823
7 Dy 0.000 0.000 0.500
8 Dy 0.222 0.442 0.604
9 Dy 0.778 0.558 0.396

Output
The calculation puts the calculated formation energy at 0.040 eV/atom. The spin magnetization is 0.0 μB/f.u. The value obtained for the density of states at the Fermi level is 14.1 states/eV per cell.

***

Density functional theory data (GGA-PBE) for an optimized crystal structure of AcNdDy2.

a b c (Å): 5.871 5.871 5.871
angles (deg): 60.00 60.00 60.00
Atoms (fractional coordinates):
1 Ac 0.000 0.000 0.000
2 Nd 0.500 0.500 0.500
3 Dy 0.250 0.250 0.250
4 Dy 0.750 0.750 0.750

Output
As for the energy relative to the lowest polymorph listed for this composition: 0.0742 eV/atom. The calculation puts the calculated formation energy at 0.116 eV/atom. The spin magnetization is 0.0 μB/f.u. The value obtained for the density of states at the Fermi level is 7.6 states/eV per cell.

***

Density functional theory data (GGA-PBE) for an optimized crystal structure of AcNd2Dy2.

a b c (Å): 13.269 12.201 6.623
angles (deg): 84.08 66.15 29.77
Atoms (fractional coordinates):
1 Ac 0.125 0.125 0.125
2 Ac 0.875 0.875 0.875
3 Nd 0.196 0.554 0.196
4 Nd 0.446 0.804 0.446
5 Nd 0.554 0.196 0.554
6 Nd 0.804 0.446 0.804
7 Dy 0.000 0.000 0.000
8 Dy 0.000 0.000 0.500
9 Dy 0.000 0.500 0.000
10 Dy 0.500 0.000 0.000

Output
As for the energy relative to the lowest polymorph listed for this composition: 0.1428 eV/atom. The calculation puts the calculated formation energy at 0.541 eV/atom. The spin magnetization is 0.0 μB/f.u. The value obtained for the density of states at the Fermi level is 18.7 states/eV per cell.

***

Density functional theory data (GGA-PBE) for an optimized crystal structure of Ac3Nd2Dy3.

a b c (Å): 10.165 10.165 6.805
angles (deg): 90.00 90.00 120.00
Atoms (fractional coordinates):
1 Ac 0.000 0.233 0.250
2 Ac 0.000 0.767 0.750
3 Ac 0.233 0.000 0.250
4 Ac 0.233 0.233 0.750
5 Ac 0.767 0.000 0.750
6 Ac 0.767 0.767 0.250
7 Nd 0.333 0.667 0.000
8 Nd 0.333 0.667 0.500
9 Nd 0.667 0.333 0.000
10 Nd 0.667 0.333 0.500
11 Dy 0.000 0.413 0.750
12 Dy 0.000 0.587 0.250
13 Dy 0.413 0.000 0.750
14 Dy 0.413 0.413 0.250
15 Dy 0.587 0.000 0.250
16 Dy 0.587 0.587 0.750

Output
The calculation puts the calculated formation energy at 0.181 eV/atom. The spin magnetization is 0.0 μB/f.u. The value obtained for the density of states at the Fermi level is 32.2 states/eV per cell.

***

Density functional theory data (GGA-PBE) for an optimized crystal structure of AcNdDyPb.

a b c (Å): 5.675 5.675 5.675
angles (deg): 60.00 60.00 60.00
Atoms (fractional coordinates):
1 Ac 0.000 0.000 0.000
2 Nd 0.750 0.750 0.750
3 Dy 0.250 0.250 0.250
4 Pb 0.500 0.500 0.500

Output
The calculation puts the calculated formation energy at -0.088 eV/atom. The spin magnetization is 0.0 μB/f.u. The value obtained for the density of states at the Fermi level is 6.4 states/eV per cell.